## PaSnPb (GGA-PBE)

Data for a relaxed PaSnPb crystal.

Computed properties:
Magnetization in μB/cell: 0.73
Energy relative to the elements in eV/atom: 0.10
E above lowest polymorph in kJ per mole of atoms: 0.4
Total energy in eV per cell: -16.9
SG: P3m1, No. 156

Cell: 5.4491 5.4491 3.1222 Å, 90.00 90.00 120.00°
Closest atoms and distances in Å follow each position.
Atoms (fractional coordinates):
Pa  0.0000  0.0000  0.0000  2 Pa 3.12
Sn  0.6667  0.3333  0.4992  2 Sn 3.12, 3 Pb 3.15
Pb  0.3333  0.6667  0.5010  2 Pb 3.12, 3 Sn 3.15

## HfGa2Pd (GGA-PBE)

Data for a relaxed HfGa2Pd crystal.

Computed properties:
Magnetization in μB/cell: 0.00
Energy relative to the elements in eV/atom: -0.33
Total energy in eV per cell: -90.1
SG: I-42d, No. 122

Cell: 7.2047 7.2047 5.6267 Å, 90.00 90.00 90.00°
Closest atoms and distances in Å follow each position.
Atoms (fractional coordinates):
Hf  0.0000  0.0000  0.0000  4 Ga 2.79, 2 Pd 2.81
Hf  0.0000  0.5000  0.2500  4 Ga 2.79, 2 Pd 2.81
Hf  0.5000  0.0000  0.7500  4 Ga 2.79, 2 Pd 2.81
Hf  0.5000  0.5000  0.5000  4 Ga 2.79, 2 Pd 2.81
Ga  0.2209  0.7500  0.6250  2 Pd 2.50, 2 Hf 2.79
Ga  0.2500  0.2209  0.3750  2 Pd 2.50, 2 Hf 2.79
Ga  0.2500  0.2791  0.8750  2 Pd 2.50, 2 Hf 2.79
Ga  0.2791  0.7500  0.1250  2 Pd 2.50, 2 Hf 2.79
Ga  0.7209  0.2500  0.1250  2 Pd 2.50, 2 Hf 2.79
Ga  0.7500  0.7209  0.8750  2 Pd 2.50, 2 Hf 2.79
Ga  0.7500  0.7791  0.3750  2 Pd 2.50, 2 Hf 2.79
Ga  0.7791  0.2500  0.6250  2 Pd 2.50, 2 Hf 2.79
Pd  0.0000  0.0000  0.5000  4 Ga 2.50
Pd  0.0000  0.5000  0.7500  4 Ga 2.50
Pd  0.5000  0.0000  0.2500  4 Ga 2.50
Pd  0.5000  0.5000  0.0000  4 Ga 2.50

## Li2AcAlH8 (GGA-PBE)

Data for a relaxed Li2AcAlH8 crystal.

Computed properties:
Magnetization in μB/cell: 0.00
Total energy in eV per cell: -42.6
SG: P-1, No. 2

Cell: 4.5880 4.5910 6.4495 Å, 89.94 89.87 60.03°
Closest atoms and distances in Å follow each position.
Atoms (fractional coordinates):
Li  0.1670  0.1666  0.1365  4 H 1.84-1.98
Li  0.8330  0.8334  0.8635  4 H 1.84-1.98
Ac  0.5000  0.5000  0.5000  12 H 2.56-2.68
Al  0.5000  0.5000  0.0000  6 H 1.72
H  0.1667  0.1666  0.4438  1 Li 1.98
H  0.1785  0.5605  0.1649  1 Al 1.72, 1 Li 1.84
H  0.2388  0.8213  0.8358  1 Al 1.72, 1 Li 1.84
H  0.4393  0.2389  0.8360  1 Al 1.72, 1 Li 1.84
H  0.5607  0.7611  0.1640  1 Al 1.72, 1 Li 1.84
H  0.7612  0.1787  0.1642  1 Al 1.72, 1 Li 1.84
H  0.8215  0.4395  0.8351  1 Al 1.72, 1 Li 1.84
H  0.8333  0.8334  0.5562  1 Li 1.98